No. 1
Entry from the Alexandria database: an optimized crystal structure of SrRe2Pt2 (PBE).

## Properties
DOS at the Fermi energy ... 5.56 states/eV/f.u.
E above lowest polymorph ... 8.97 kJ/mol of atoms
DFT formation energy ... 0.16 eV/atom
Total magnetic moment ... 0.00 μB per cell
Symmetry ... No. 139

Cell and atoms, written as POSCAR:
```
SrRe2Pt2
1.0
-2.680 -3.689 -0.130
1.267 -1.070 4.249
-4.491 0.306 3.865
Pt Sr Re
2 1 2
Cartesian
-3.938 -2.882 2.897
-1.965 -1.572 5.087
0.000 0.000 0.000
-4.314 -2.701 5.503
-1.589 -1.753 2.481
```

No. 2
Entry from the Alexandria database: an optimized crystal structure of MnBe4Si (PBE).

## Properties
DOS at the Fermi energy ... 3.58 states/eV/f.u.
E above lowest polymorph ... 0.00 kJ/mol of atoms
Total magnetic moment ... 0.47 μB per cell
Symmetry ... No. 216
Formation energy (no corrections) ... -0.153 eV/atom

Cell and atoms, written as POSCAR:
```
MnBe4Si
1.0
-4.088 0.224 0.791
-2.005 -3.306 1.561
-1.361 0.057 3.941
Si Be Mn
1 4 1
Cartesian
0.000 0.000 0.000
-4.644 -1.885 3.920
-2.632 -1.995 3.531
-3.974 -1.913 1.981
-3.657 -0.258 3.152
-1.863 -0.756 1.573
```

No. 3
Entry from the Alexandria database: an optimized crystal structure of Na2UB2O6 (PBE).

## Properties
DOS at the Fermi energy ... 6.92 states/eV/f.u.
Total magnetic moment ... 2.00 μB per cell
Symmetry ... No. 147
Formation energy (no corrections) ... -2.448 eV/atom

Cell and atoms, written as POSCAR:
```
Na2UB2O6
1.0
5.345 0.000 0.000
-2.673 4.629 0.000
0.000 0.000 6.181
Na O U B
2 6 1 2
Cartesian
2.673 1.543 4.080
0.000 3.086 2.101
4.038 1.299 1.320
-1.365 3.330 4.860
0.894 4.147 4.860
1.779 0.482 1.320
2.201 2.847 1.320
0.472 1.782 4.860
0.000 0.000 0.000
2.673 1.543 1.284
0.000 3.086 4.896
```